(1)
{"formula": "La2Zn2Cu15", "functional": "GGA-PBE", "state": "relaxed", "lattice_angstrom": [[-6.471, -0.989, 0.762], [0.214, -2.027, 6.267], [-1.393, 5.808, 2.786]], "species": ["Cu", "Cu", "Cu", "Cu", "Cu", "Cu", "Cu", "Cu", "Zn", "Cu", "Cu", "Cu", "Cu", "Cu", "Cu", "La", "Zn", "La", "Cu"], "frac_coords": [[0.849, 0.343, 0.343], [0.343, 0.849, 0.343], [0.500, 0.000, 0.000], [0.000, 0.706, 0.294], [0.706, 0.294, 0.000], [0.294, 0.706, 0.000], [0.706, 0.000, 0.294], [0.343, 0.343, 0.849], [0.900, 0.900, 0.900], [0.657, 0.151, 0.657], [0.000, 0.000, 0.500], [0.294, 0.000, 0.706], [0.657, 0.657, 0.151], [0.000, 0.500, 0.000], [0.000, 0.294, 0.706], [0.651, 0.651, 0.651], [0.100, 0.100, 0.100], [0.349, 0.349, 0.349], [0.151, 0.657, 0.657]], "total_magnetization_mub_per_cell": 0.000, "ef_ev_per_fu": -2.27, "spacegroup": "No. 166", "dft_energy_ev_per_atom": -4.006, "dos_at_fermi_per_ev_atom": 0.549}

=====

(2)
{"formula": "HfGaAu", "functional": "GGA-PBE", "state": "relaxed", "lattice_angstrom": [[-0.759, -3.609, 2.230], [5.598, 0.706, -1.138], [3.769, 1.784, 4.149]], "species": ["Ga", "Ga", "Au", "Hf", "Hf", "Au"], "frac_coords": [[0.956, 0.561, 0.941], [0.323, 0.294, 0.750], [0.353, 0.354, 0.257], [0.008, 0.664, 0.393], [0.652, 0.952, 0.595], [0.681, 0.010, 0.047]], "total_magnetization_mub_per_cell": 0.000, "ef_ev_per_fu": -1.14, "spacegroup": "No. 1", "dft_energy_ev_per_atom": -5.800, "dos_at_fermi_per_ev_atom": 0.537}

=====

(3)
{"formula": "BeAg", "functional": "GGA-PBE", "state": "relaxed", "lattice_angstrom": [[-0.186, 1.357, 2.446], [-2.299, -1.093, -1.175], [1.258, -6.806, 3.870]], "species": ["Ag", "Be", "Be", "Ag"], "frac_coords": [[0.000, 0.000, 0.000], [0.667, 0.333, 0.750], [0.333, 0.667, 0.250], [0.000, 0.000, 0.500]], "total_magnetization_mub_per_cell": 0.000, "ef_ev_per_fu": 0.58, "spacegroup": "No. 194", "dft_energy_ev_per_atom": -3.001, "dos_at_fermi_per_ev_atom": 0.384}

=====

(4)
{"formula": "KSrTa", "functional": "GGA-PBE", "state": "relaxed", "lattice_angstrom": [[-5.736, 0.545, -1.789], [1.278, -0.750, 5.849], [0.496, 8.394, 0.968]], "species": ["Sr", "Ta", "K", "Ta", "K", "Sr"], "frac_coords": [[0.333, 0.667, 0.719], [0.000, 0.000, 0.366], [0.667, 0.333, 0.000], [0.000, 0.000, 0.634], [0.667, 0.333, 0.500], [0.333, 0.667, 0.281]], "total_magnetization_mub_per_cell": 0.000, "ef_ev_per_fu": 3.57, "spacegroup": "No. 187", "dft_energy_ev_per_atom": -3.688, "dos_at_fermi_per_ev_atom": 1.253, "relative_energy_ev_per_fu": 2.368}

=====

(5)
{"formula": "Ac2DyIn4", "functional": "GGA-PBE", "state": "relaxed", "lattice_angstrom": [[5.284, 0.000, -1.684], [-0.537, 5.257, -1.684], [-0.190, -0.211, 8.533]], "species": ["Ac", "Dy", "In", "In", "In", "In", "Ac"], "frac_coords": [[0.254, 0.254, 0.509], [0.000, 0.000, 0.000], [0.102, 0.602, 0.205], [0.602, 0.102, 0.205], [0.898, 0.398, 0.795], [0.398, 0.898, 0.795], [0.746, 0.746, 0.491]], "total_magnetization_mub_per_cell": 0.000, "ef_ev_per_fu": -1.99, "spacegroup": "No. 139", "dft_energy_ev_per_atom": -3.681, "dos_at_fermi_per_ev_atom": 0.917}

=====

(6)
{"formula": "LiCu2Ir", "functional": "GGA-PBE", "state": "relaxed", "lattice_angstrom": [[-0.817, -3.581, 2.312], [2.688, -0.439, 0.271], [0.016, 2.352, 3.648]], "species": ["Ir", "Li", "Cu", "Cu"], "frac_coords": [[0.000, 0.625, 0.374], [0.500, 0.625, 0.876], [0.000, 0.125, 0.874], [0.500, 0.125, 0.376]], "total_magnetization_mub_per_cell": 0.000, "ef_ev_per_fu": -0.33, "spacegroup": "No. 25", "dft_energy_ev_per_atom": -4.824, "dos_at_fermi_per_ev_atom": 0.419, "relative_energy_ev_per_fu": 0.034}

=====

(7)
{"formula": "KCa2Cd", "functional": "GGA-PBE", "state": "relaxed", "lattice_angstrom": [[7.533, 0.067, 0.009], [6.498, 3.811, 0.009], [2.430, 0.672, 5.583]], "species": ["Ca", "Ca", "K", "Cd"], "frac_coords": [[0.005, 0.005, 0.994], [0.798, 0.798, 0.705], [0.208, 0.208, 0.294], [0.488, 0.488, 0.506]], "total_magnetization_mub_per_cell": 0.000, "ef_ev_per_fu": 0.12, "spacegroup": "No. 8", "dft_energy_ev_per_atom": -1.475, "dos_at_fermi_per_ev_atom": 0.877}

=====

(8)
{"formula": "CaAu2I", "functional": "GGA-PBE", "state": "relaxed", "lattice_angstrom": [[0.000, 3.696, 3.696], [3.696, 0.000, 3.696], [3.696, 3.696, 0.000]], "species": ["Au", "Ca", "Au", "I"], "frac_coords": [[0.250, 0.250, 0.250], [0.000, 0.000, 0.000], [0.750, 0.750, 0.750], [0.500, 0.500, 0.500]], "total_magnetization_mub_per_cell": 0.000, "spacegroup": "No. 225", "e_form_raw_ev_per_fu": -1.166, "dft_energy_ev_per_atom": -2.818, "dos_at_fermi_per_ev_atom": 0.638}

=====

(9)
{"formula": "KSrBe2", "functional": "GGA-PBE", "state": "relaxed", "lattice_angstrom": [[4.128, 0.027, 0.114], [2.035, 3.592, 0.114], [1.887, 1.108, 8.711]], "species": ["Be", "Sr", "Be", "K"], "frac_coords": [[0.036, 0.036, 0.890], [0.292, 0.292, 0.116], [0.703, 0.703, 0.890], [0.469, 0.469, 0.604]], "total_magnetization_mub_per_cell": 0.000, "ef_ev_per_fu": 1.99, "spacegroup": "No. 8", "dft_energy_ev_per_atom": -2.062, "dos_at_fermi_per_ev_atom": 0.645, "relative_energy_ev_per_fu": 0.000}

=====

(10)
{"formula": "Cs4Cd3InBr12", "functional": "GGA-PBE", "state": "relaxed", "lattice_angstrom": [[9.778, 0.000, 0.000], [-3.259, 9.219, 0.000], [-3.259, -4.609, 7.984]], "species": ["Br", "Br", "Br", "Br", "Br", "In", "Br", "Cd", "Cd", "Br", "Br", "Br", "Br", "Cs", "Br", "Cd", "Cs", "Br", "Cs", "Cs"], "frac_coords": [[0.750, 0.500, 0.250], [0.250, 0.750, 0.500], [0.249, 0.249, 0.000], [0.751, 0.000, 0.751], [0.000, 0.751, 0.751], [0.000, 0.000, 0.000], [0.751, 0.751, 0.000], [0.500, 0.000, 0.500], [0.000, 0.500, 0.500], [0.500, 0.250, 0.750], [0.250, 0.500, 0.750], [0.500, 0.750, 0.250], [0.750, 0.250, 0.500], [0.000, 0.500, 0.000], [0.000, 0.249, 0.249], [0.500, 0.500, 0.000], [0.500, 0.000, 0.000], [0.249, 0.000, 0.249], [0.000, 0.000, 0.500], [0.500, 0.500, 0.500]], "total_magnetization_mub_per_cell": 0.000, "spacegroup": "No. 229", "e_form_raw_ev_per_fu": -24.464, "dft_energy_ev_per_atom": -2.672, "dos_at_fermi_per_ev_atom": 0.158}

=====

(11)
{"formula": "ZnCuCl2", "functional": "GGA-PBE", "state": "relaxed", "lattice_angstrom": [[-0.320, -4.568, 0.908], [-2.689, -1.500, 3.508], [-3.965, -2.289, -0.912]], "species": ["Cl", "Zn", "Cu", "Cl"], "frac_coords": [[0.750, 0.750, 0.750], [0.500, 0.500, 0.500], [0.000, 0.000, 0.000], [0.250, 0.250, 0.250]], "total_magnetization_mub_per_cell": 0.000, "spacegroup": "No. 225", "e_form_raw_ev_per_fu": 0.080, "dft_energy_ev_per_atom": -2.246, "dos_at_fermi_per_ev_atom": 0.472, "relative_energy_ev_per_fu": 1.830}

=====

(12)
{"formula": "BeAlF2", "functional": "GGA-PBE", "state": "relaxed", "lattice_angstrom": [[-0.352, -4.409, -2.913], [0.269, -4.745, 2.336], [-4.322, -3.044, 0.316]], "species": ["F", "F", "Be", "Be", "Al", "Al", "F", "F"], "frac_coords": [[0.125, 0.125, 0.625], [0.125, 0.125, 0.125], [0.000, 0.000, 0.000], [0.250, 0.250, 0.250], [0.750, 0.750, 0.750], [0.500, 0.500, 0.500], [0.625, 0.125, 0.125], [0.125, 0.625, 0.125]], "total_magnetization_mub_per_cell": 0.001, "spacegroup": "No. 227", "e_form_raw_ev_per_fu": -7.095, "dft_energy_ev_per_atom": -4.577, "dos_at_fermi_per_ev_atom": 0.415, "relative_energy_ev_per_fu": 0.948}

=====

(13)
{"formula": "GdPuNiRu", "functional": "GGA-PBE", "state": "relaxed", "lattice_angstrom": [[-3.124, -3.610, 0.532], [1.437, -4.536, -0.657], [0.377, -2.968, 3.758]], "species": ["Ru", "Pu", "Gd", "Ni"], "frac_coords": [[0.750, 0.750, 0.750], [0.000, 0.000, 0.000], [0.500, 0.500, 0.500], [0.250, 0.250, 0.250]], "total_magnetization_mub_per_cell": 2.513, "ef_ev_per_fu": -0.68, "spacegroup": "No. 216", "dft_energy_ev_per_atom": -11.037, "dos_at_fermi_per_ev_atom": 2.285}

=====

(14)
{"formula": "Nd2PaTe6", "functional": "GGA-PBE", "state": "relaxed", "lattice_angstrom": [[7.387, 0.000, 0.000], [0.000, 7.387, 0.000], [0.000, 0.000, 13.620]], "species": ["Te", "Nd", "Te", "Te", "Te", "Te", "Te", "Pa", "Te", "Te", "Nd", "Te", "Pa", "Te", "Te", "Te", "Nd", "Nd"], "frac_coords": [[0.212, 0.788, 0.500], [0.000, 0.000, 0.333], [0.712, 0.712, 0.000], [0.288, 0.288, 0.000], [0.788, 0.212, 0.500], [0.198, 0.802, 0.843], [0.698, 0.698, 0.343], [0.000, 0.000, 0.000], [0.198, 0.802, 0.157], [0.302, 0.302, 0.343], [0.500, 0.500, 0.833], [0.802, 0.198, 0.157], [0.500, 0.500, 0.500], [0.302, 0.302, 0.657], [0.802, 0.198, 0.843], [0.698, 0.698, 0.657], [0.500, 0.500, 0.167], [0.000, 0.000, 0.667]], "total_magnetization_mub_per_cell": 0.000, "spacegroup": "No. 136", "e_form_raw_ev_per_fu": -8.594, "dft_energy_ev_per_atom": -5.164, "dos_at_fermi_per_ev_atom": 0.543}

=====

(15)
{"formula": "Ce2PuSnC", "functional": "GGA-PBE", "state": "relaxed", "lattice_angstrom": [[-0.268, 4.411, 1.880], [-4.853, -0.699, 0.948], [1.144, -1.847, 4.497]], "species": ["Ce", "Pu", "C", "Sn", "Ce"], "frac_coords": [[0.000, 0.000, 0.500], [0.500, 0.000, 0.000], [0.000, 0.000, 0.000], [0.500, 0.500, 0.500], [0.000, 0.500, 0.000]], "total_magnetization_mub_per_cell": 6.624, "ef_ev_per_fu": -2.09, "spacegroup": "No. 123", "dft_energy_ev_per_atom": -8.304, "dos_at_fermi_per_ev_atom": 1.415}

=====

(16)
{"formula": "Hf4Co3Tc", "functional": "GGA-PBE", "state": "relaxed", "lattice_angstrom": [[-2.405, -3.747, 0.748], [1.783, -4.046, -0.912], [2.474, -2.956, 6.775]], "species": ["Tc", "Hf", "Hf", "Co", "Co", "Hf", "Hf", "Co"], "frac_coords": [[0.000, 0.000, 0.000], [0.874, 0.874, 0.378], [0.376, 0.376, 0.872], [0.500, 0.500, 0.500], [0.250, 0.250, 0.251], [0.624, 0.624, 0.128], [0.126, 0.126, 0.622], [0.750, 0.750, 0.749]], "total_magnetization_mub_per_cell": 2.110, "ef_ev_per_fu": -3.48, "spacegroup": "No. 166", "dft_energy_ev_per_atom": -9.372, "dos_at_fermi_per_ev_atom": 0.666}

=====

(17)
{"formula": "Sm3DyH", "functional": "GGA-PBE", "state": "relaxed", "lattice_angstrom": [[5.080, 0.000, 0.000], [0.000, 5.080, 0.000], [0.000, 0.000, 5.080]], "species": ["Sm", "Sm", "Sm", "H", "Dy"], "frac_coords": [[0.000, 0.000, 0.500], [0.500, 0.000, 0.000], [0.000, 0.500, 0.000], [0.000, 0.000, 0.000], [0.500, 0.500, 0.500]], "total_magnetization_mub_per_cell": 0.000, "spacegroup": "No. 221", "dft_energy_ev_per_atom": -4.590, "dos_at_fermi_per_ev_atom": 1.032}

=====

(18)
{"formula": "Pr2SN", "functional": "GGA-PBE", "state": "relaxed", "lattice_angstrom": [[3.786, 0.000, 0.000], [1.893, 3.278, 0.000], [1.893, 1.093, 6.795]], "species": ["Pr", "N", "Pr", "S"], "frac_coords": [[0.069, 0.069, 0.793], [0.668, 0.668, 0.995], [0.264, 0.264, 0.209], [0.499, 0.499, 0.502]], "total_magnetization_mub_per_cell": 0.001, "spacegroup": "No. 160", "e_form_raw_ev_per_fu": -6.493, "dft_energy_ev_per_atom": -7.126, "dos_at_fermi_per_ev_atom": 0.553, "relative_energy_ev_per_fu": 0.253}

=====

(19)
{"formula": "CdIn2Hg2", "functional": "GGA-PBE", "state": "relaxed", "lattice_angstrom": [[7.954, 0.000, 0.000], [0.000, 7.954, 0.000], [0.000, 0.000, 4.235]], "species": ["In", "Hg", "Cd", "In", "Hg", "In", "Hg", "Cd", "Hg", "In"], "frac_coords": [[0.341, 0.159, 0.500], [0.643, 0.143, 0.000], [0.000, 0.000, 0.000], [0.159, 0.659, 0.500], [0.357, 0.857, 0.000], [0.659, 0.841, 0.500], [0.143, 0.357, 0.000], [0.500, 0.500, 0.000], [0.857, 0.643, 0.000], [0.841, 0.341, 0.500]], "total_magnetization_mub_per_cell": 0.000, "ef_ev_per_fu": 0.24, "spacegroup": "No. 127", "dft_energy_ev_per_atom": -1.351, "dos_at_fermi_per_ev_atom": 0.541, "relative_energy_ev_per_fu": 0.163}

=====

(20)
{"formula": "MgTl2SbS4", "functional": "GGA-PBE", "state": "relaxed", "lattice_angstrom": [[6.791, 0.575, -0.004], [0.578, 7.373, 0.000], [-3.683, -3.976, 4.421]], "species": ["Mg", "S", "S", "Tl", "Tl", "Sb", "S", "S"], "frac_coords": [[0.985, 0.485, 0.970], [0.343, 0.765, 0.185], [0.841, 0.419, 0.184], [0.292, 0.292, 0.585], [0.528, 0.028, 0.057], [0.761, 0.761, 0.523], [0.016, 0.086, 0.635], [0.619, 0.550, 0.635]], "total_magnetization_mub_per_cell": 0.000, "spacegroup": "No. 5", "e_form_raw_ev_per_fu": -4.105, "dft_energy_ev_per_atom": -3.883, "dos_at_fermi_per_ev_atom": 0.203}